No. 1
DFT (PBE-GGA) results for Si2MoRh after structural relaxation.

Summary:
Its uncorrected formation energy is -117.4 meV/atom.

abc: 2.8829 2.8829 23.8876
angles: 90.00 90.00 120.00
Space group R3m (No. 160, hexagonal axes)
Unique sites:
Si: 0.0000 0.0000 0.0000 (multiplicity 3)
Si: 0.0000 0.0000 0.2527 (multiplicity 3)
Mo: 0.0000 0.0000 0.7508 (multiplicity 3)
Rh: 0.0000 0.0000 0.5110 (multiplicity 3)

***

No. 2
DFT (PBE-GGA) results for SiMoRh2 after structural relaxation.

Summary:
Its uncorrected formation energy is -273.0 meV/atom.

abc: 2.810 3.711 5.494
angles: 90.00 90.00 90.00
Space group Pmm2 (No. 25)
Unique sites:
Si: 0.000 0.000 0.000 (multiplicity 1)
Mo: 0.500 0.500 0.303 (multiplicity 1)
Rh: 0.000 0.000 0.521 (multiplicity 1)
Rh: 0.500 0.500 0.826 (multiplicity 1)

***

No. 3
DFT (PBE-GGA) results for SiMoRh2 after structural relaxation.

Summary:
Its uncorrected formation energy is -406.6 meV/atom.

abc: 2.868 4.406 8.962
angles: 90.00 90.00 90.00
Space group Imm2 (No. 44)
Unique sites:
Si: 0.000 0.000 0.000 (multiplicity 2)
Mo: 0.000 0.500 0.731 (multiplicity 2)
Rh: 0.000 0.000 0.502 (multiplicity 2)
Rh: 0.000 0.500 0.291 (multiplicity 2)

***

No. 4
DFT (PBE-GGA) results for SiTeMoRh after structural relaxation.

Summary:
The calculation puts the energy above the most stable polymorph in this dataset at 0.053 eV per atom. Its uncorrected formation energy is -216.5 meV/atom.

abc: 3.6410 3.6410 20.3065
angles: 90.00 90.00 120.00
Space group R3m (No. 160, hexagonal axes)
Unique sites:
Si: 0.0000 0.0000 0.0000 (multiplicity 3)
Te: 0.0000 0.0000 0.8400 (multiplicity 3)
Mo: 0.0000 0.0000 0.2605 (multiplicity 3)
Rh: 0.0000 0.0000 0.7096 (multiplicity 3)

***

No. 5
DFT (PBE-GGA) results for SiTeMoRh after structural relaxation.

Summary:
The calculation puts the energy above the most stable polymorph in this dataset at 0.246 eV per atom. Its uncorrected formation energy is -23.9 meV/atom.

abc: 3.174 4.718 4.579
angles: 90.00 90.00 90.00
Space group Pmm2 (No. 25)
Unique sites:
Si: 0.000 0.000 0.000 (multiplicity 1)
Te: 0.500 0.500 0.688 (multiplicity 1)
Mo: 0.000 0.500 0.196 (multiplicity 1)
Rh: 0.500 0.000 0.405 (multiplicity 1)

***

No. 6
DFT (PBE-GGA) results for SiTeMoRh after structural relaxation.

Summary:
The calculation puts the energy above the most stable polymorph in this dataset at 0.225 eV per atom. Its uncorrected formation energy is -44.4 meV/atom.

abc: 9.024 3.412 5.515
angles: 90.00 125.96 90.00
Space group Cm (No. 8)
Unique sites:
Si: 0.000 0.000 0.000 (multiplicity 2)
Te: 0.010 0.500 0.461 (multiplicity 2)
Mo: 0.236 0.500 0.068 (multiplicity 2)
Rh: 0.305 0.000 0.648 (multiplicity 2)

***

No. 7
DFT (PBE-GGA) results for SiTeMoRh after structural relaxation.

Summary:
The calculation puts the energy above the most stable polymorph in this dataset at 0.081 eV per atom. Its uncorrected formation energy is -188.7 meV/atom.

abc: 3.6737 3.6737 6.6789
angles: 90.00 90.00 120.00
Space group P3m1 (No. 156)
Unique sites:
Si: 0.0000 0.0000 0.0000 (multiplicity 1)
Te: 0.3333 0.6667 0.5113 (multiplicity 1)
Mo: 0.6667 0.3333 0.7736 (multiplicity 1)
Rh: 0.3333 0.6667 0.1174 (multiplicity 1)

***

No. 8
DFT (PBE-GGA) results for SiTeMoRh after structural relaxation.

Summary:
The calculation puts the energy above the most stable polymorph in this dataset at 0.170 eV per atom. Its uncorrected formation energy is -99.8 meV/atom.

abc: 8.488 3.444 5.043
angles: 90.00 106.94 90.00
Space group Cm (No. 8)
Unique sites:
Si: 0.000 0.000 0.000 (multiplicity 2)
Te: 0.255 0.500 0.443 (multiplicity 2)
Mo: 0.291 0.000 0.048 (multiplicity 2)
Rh: 0.011 0.500 0.668 (multiplicity 2)